DFT (PBE) results for a relaxed Tl4Te4Au3 crystal.

POSCAR file:
```
Tl4Te4Au3
1.0
4.9883 -0.0207 -0.1902
-0.0084 4.3182 -0.6509
-0.6903 0.2500 16.3614
Tl Te Au
4 4 3
direct
0.2712 0.9089 0.8184 Tl
0.7268 0.7105 0.4195 Tl
0.7287 0.0912 0.1816 Tl
0.2732 0.2895 0.5805 Tl
0.7937 0.8201 0.6420 Te
0.2063 0.1799 0.3580 Te
0.2335 0.5453 0.0899 Te
0.7665 0.4548 0.9101 Te
0.0000 0.0000 0.0000 Au
0.2080 0.6275 0.2534 Au
0.7919 0.3725 0.7466 Au
```

Computed properties:
The value obtained for the magnetic moment is 0.00 μB per formula unit. As for the energy relative to the elements, uncorrected: -19 kJ per mole of atoms. The density of states at the Fermi level comes out at 2.5 states/eV/cell. The value obtained for the mass density is 9.0 g/cm3.

---

DFT (PBE) results for a relaxed Tl3Te2Au crystal.

POSCAR file:
```
Tl3Te2Au
1.0
-2.8200 -7.4782 3.5869
1.9718 -1.6487 8.8103
-5.4690 0.4595 7.3558
Tl Au Te
6 2 4
direct
0.2500 0.5000 0.5000 Tl
0.9857 0.7643 0.7643 Tl
0.5143 0.2357 0.2357 Tl
0.7500 0.5000 0.5000 Tl
0.4857 0.7643 0.7643 Tl
0.0143 0.2357 0.2357 Tl
0.0000 0.0000 0.0000 Au
0.5000 0.0000 0.0000 Au
0.1223 0.1286 0.6269 Te
0.6223 0.6269 0.1286 Te
0.3777 0.3731 0.8714 Te
0.8777 0.8714 0.3731 Te
```

Computed properties:
The value obtained for the magnetic moment is 0.00 μB per formula unit. As for the energy relative to the elements, uncorrected: -18 kJ per mole of atoms. The relative energy among the computed polymorphs comes out at 0 meV per atom. The density of states at the Fermi level comes out at 0.4 states/eV/cell. The value obtained for the mass density is 7.3 g/cm3.

---

DFT (PBE) results for a relaxed TlTeAu3 crystal.

POSCAR file:
```
TlTeAu3
1.0
-2.2020 -3.2949 -3.6511
-1.3098 -3.4630 3.9151
-4.7404 2.4874 0.6142
Au Tl Te
3 1 1
direct
0.5000 0.0000 0.0000 Au
0.0000 0.0000 0.5000 Au
0.0000 0.5000 0.0000 Au
0.5000 0.5000 0.5000 Tl
0.0000 0.0000 0.0000 Te
```

Computed properties:
The value obtained for the magnetic moment is 0.00 μB per formula unit. As for the energy relative to the elements, uncorrected: 25 kJ per mole of atoms. The relative energy among the computed polymorphs comes out at 0 meV per atom. The density of states at the Fermi level comes out at 2.2 states/eV/cell. The value obtained for the mass density is 9.8 g/cm3.

---

DFT (PBE) results for a relaxed TlTeAu3 crystal.

POSCAR file:
```
TlTeAu3
1.0
-0.5504 -3.1772 -4.1733
5.2376 -0.5571 -0.2667
-0.2801 -4.1724 3.2135
Au Te Tl
3 1 1
direct
0.5000 0.0000 0.0000 Au
0.0000 0.5000 0.0000 Au
0.0000 0.0000 0.5000 Au
0.5000 0.5000 0.5000 Te
0.0000 0.0000 0.0000 Tl
```

Computed properties:
The value obtained for the magnetic moment is 0.00 μB per formula unit. As for the energy relative to the elements, uncorrected: 75 kJ per mole of atoms. The relative energy among the computed polymorphs comes out at 523 meV per atom. The density of states at the Fermi level comes out at 4.6 states/eV/cell. The value obtained for the mass density is 10.4 g/cm3.

---

DFT (PBE) results for a relaxed Tl2Te5Au2 crystal.

POSCAR file:
```
Tl2Te5Au2
1.0
-2.3733 -0.1542 3.8785
-3.8934 -3.9580 -5.2083
7.6362 -5.2892 4.4624
Te Au Tl
5 2 2
direct
0.3719 0.7438 0.0656 Te
0.0000 0.0000 0.0000 Te
0.8967 0.7934 0.4704 Te
0.1033 0.2066 0.5296 Te
0.6281 0.2562 0.9344 Te
0.7951 0.5902 0.1874 Au
0.2049 0.4098 0.8126 Au
0.6227 0.2455 0.3017 Tl
0.3773 0.7545 0.6983 Tl
```

Computed properties:
The value obtained for the magnetic moment is 0.00 μB per formula unit. As for the energy relative to the elements, uncorrected: -8 kJ per mole of atoms. The density of states at the Fermi level comes out at 2.1 states/eV/cell. The value obtained for the mass density is 7.8 g/cm3.

---

DFT (PBE) results for a relaxed Tl3Te4Au2 crystal.

POSCAR file:
```
Tl3Te4Au2
1.0
-2.3411 3.3626 -2.1810
-5.6575 -4.5921 -1.0069
0.2911 2.8341 8.9960
Tl Au Te
3 2 4
direct
0.0000 0.0000 0.0000 Tl
0.1551 0.5861 0.3103 Tl
0.8449 0.4139 0.6897 Tl
0.6566 0.9057 0.3132 Au
0.3434 0.0943 0.6868 Au
0.8000 0.8463 0.5999 Te
0.5001 0.3055 0.0002 Te
0.4999 0.6945 0.9998 Te
0.2000 0.1537 0.4001 Te
```

Computed properties:
The value obtained for the magnetic moment is 0.00 μB per formula unit. As for the energy relative to the elements, uncorrected: -13 kJ per mole of atoms. The relative energy among the computed polymorphs comes out at 0 meV per atom. The density of states at the Fermi level comes out at 3.4 states/eV/cell. The value obtained for the mass density is 8.6 g/cm3.

---

DFT (PBE) results for a relaxed Tl2TeAu crystal.

POSCAR file:
```
Tl2TeAu
1.0
4.5940 0.0000 0.0000
0.0000 4.5927 0.0000
0.0000 0.0000 5.2582
Au Tl Te
1 2 1
direct
0.5000 0.0000 0.5000 Au
0.5000 0.5000 0.0000 Tl
0.0000 0.0000 0.0000 Tl
0.0000 0.5000 0.5000 Te
```

Computed properties:
The value obtained for the magnetic moment is 0.00 μB per formula unit. As for the energy relative to the elements, uncorrected: -1 kJ per mole of atoms. The relative energy among the computed polymorphs comes out at 111 meV per atom. The density of states at the Fermi level comes out at 0.8 states/eV/cell. The value obtained for the mass density is 11.0 g/cm3.

---

DFT (PBE) results for a relaxed TlTe2Au2 crystal.

POSCAR file:
```
TlTe2Au2
1.0
9.5386 0.0000 0.0000
0.0000 9.5386 0.0000
0.0000 0.0000 3.0374
Au Te Tl
4 4 2
direct
0.3996 0.1004 0.5000 Au
0.1004 0.6004 0.5000 Au
0.8996 0.3996 0.5000 Au
0.6004 0.8996 0.5000 Au
0.7793 0.7207 0.0000 Te
0.2793 0.7793 0.0000 Te
0.2207 0.2793 0.0000 Te
0.7207 0.2207 0.0000 Te
0.5000 0.5000 0.0000 Tl
0.0000 0.0000 0.0000 Tl
```

Computed properties:
The value obtained for the magnetic moment is 0.00 μB per formula unit. As for the energy relative to the elements, uncorrected: 10 kJ per mole of atoms. The relative energy among the computed polymorphs comes out at 235 meV per atom. The density of states at the Fermi level comes out at 3.4 states/eV/cell. The value obtained for the mass density is 10.3 g/cm3.

---

Which value of density of states at the Fermi level does entry 1 give? 2.5 states/eV/cell